w.
# Ag2PbF

Crystalline Ag2PbF at its relaxed geometry (GGA-PBE, the Alexandria database).

Output
space group = I-42d
magnetization = 0.00 μB/f.u.

abc: 7.7642 7.7642 5.3651
angles: 90.00 90.00 90.00
Last column: nearest neighbours and their distance in Å.
Atoms (fractional coordinates):
Ag 0.2027 0.2500 0.1250  2 F 2.59, 2 Ag 2.78
Ag 0.2500 0.7027 0.3750  2 F 2.59, 2 Ag 2.78
Ag 0.2500 0.7973 0.8750  2 F 2.59, 2 Ag 2.78
Ag 0.2973 0.2500 0.6250  2 F 2.59, 2 Ag 2.78
Ag 0.7027 0.7500 0.6250  2 F 2.59, 2 Ag 2.78
Ag 0.7500 0.2027 0.8750  2 F 2.59, 2 Ag 2.78
Ag 0.7500 0.2973 0.3750  2 F 2.59, 2 Ag 2.78
Ag 0.7973 0.7500 0.1250  2 F 2.59, 2 Ag 2.78
Pb 0.0000 0.0000 0.5000  2 F 2.68
Pb 0.0000 0.5000 0.7500  2 F 2.68
Pb 0.5000 0.0000 0.2500  2 F 2.68
Pb 0.5000 0.5000 0.0000  2 F 2.68
F 0.0000 0.0000 0.0000  4 Ag 2.59, 2 Pb 2.68
F 0.0000 0.5000 0.2500  4 Ag 2.59, 2 Pb 2.68
F 0.5000 0.0000 0.7500  4 Ag 2.59, 2 Pb 2.68
F 0.5000 0.5000 0.5000  4 Ag 2.59, 2 Pb 2.68

---

x.
# Ag2PbF

Crystalline Ag2PbF at its relaxed geometry (GGA-PBE, the Alexandria database).

Output
space group = Fm-3m
magnetization = 0.00 μB/f.u.

abc: 6.8057 6.8057 6.8057
angles: 90.00 90.00 90.00
Last column: nearest neighbours and their distance in Å.
Atoms (fractional coordinates):
Ag 0.2500 0.2500 0.2500  4 F 2.95, 4 Pb 2.95
Ag 0.2500 0.2500 0.7500  4 F 2.95, 4 Pb 2.95
Ag 0.2500 0.7500 0.2500  4 F 2.95, 4 Pb 2.95
Ag 0.2500 0.7500 0.7500  4 F 2.95, 4 Pb 2.95
Ag 0.7500 0.2500 0.2500  4 F 2.95, 4 Pb 2.95
Ag 0.7500 0.2500 0.7500  4 F 2.95, 4 Pb 2.95
Ag 0.7500 0.7500 0.2500  4 F 2.95, 4 Pb 2.95
Ag 0.7500 0.7500 0.7500  4 F 2.95, 4 Pb 2.95
Pb 0.0000 0.0000 0.0000  8 Ag 2.95
Pb 0.0000 0.5000 0.5000  8 Ag 2.95
Pb 0.5000 0.0000 0.5000  8 Ag 2.95
Pb 0.5000 0.5000 0.0000  8 Ag 2.95
F 0.0000 0.0000 0.5000  8 Ag 2.95
F 0.0000 0.5000 0.0000  8 Ag 2.95
F 0.5000 0.0000 0.0000  8 Ag 2.95
F 0.5000 0.5000 0.5000  8 Ag 2.95

---

Relative energies, meV per atom: w 0; x 197.

---

w.
# AgPb3F

Crystalline AgPb3F at its relaxed geometry (GGA-PBE, the Alexandria database).

Output
space group = Pm-3m
magnetization = 0.00 μB/f.u.

abc: 5.5172 5.5172 5.5172
angles: 90.00 90.00 90.00
Last column: nearest neighbours and their distance in Å.
Atoms (fractional coordinates):
Ag 0.0000 0.0000 0.0000  6 Pb 2.76
Pb 0.0000 0.0000 0.5000  2 Ag 2.76
Pb 0.0000 0.5000 0.0000  2 Ag 2.76
Pb 0.5000 0.0000 0.0000  2 Ag 2.76
F 0.5000 0.5000 0.5000  12 Pb 3.90

---

x.
# AgPb3F

Crystalline AgPb3F at its relaxed geometry (GGA-PBE, the Alexandria database).

Output
space group = Pm-3m
magnetization = 0.00 μB/f.u.

abc: 5.0991 5.0991 5.0991
angles: 90.00 90.00 90.00
Last column: nearest neighbours and their distance in Å.
Atoms (fractional coordinates):
Ag 0.0000 0.0000 0.0000  12 Pb 3.61
Pb 0.0000 0.5000 0.5000  2 F 2.55
Pb 0.5000 0.0000 0.5000  2 F 2.55
Pb 0.5000 0.5000 0.0000  2 F 2.55
F 0.5000 0.5000 0.5000  6 Pb 2.55

---

Relative energies, meV per atom: w 429; x 0.

---

w.
# Ag2Pb2F7

Crystalline Ag2Pb2F7 at its relaxed geometry (GGA-PBE, the Alexandria database).

Output
space group = C2/m
magnetization = 0.00 μB/f.u.

abc: 5.9236 5.9236 5.9572
angles: 95.18 95.18 85.65
Last column: nearest neighbours and their distance in Å.
Atoms (fractional coordinates):
Ag 0.2320 0.7680 0.0000  4 F 2.23-2.46
Ag 0.7680 0.2320 0.0000  4 F 2.23-2.46
Pb 0.2309 0.2309 0.5030  7 F 2.34-2.59
Pb 0.7691 0.7691 0.4970  7 F 2.34-2.59
F 0.0231 0.0231 0.7380  2 Pb 2.42-2.48, 2 Ag 2.46
F 0.0537 0.5257 0.7476  1 Ag 2.23, 1 Pb 2.41
F 0.4743 0.9463 0.2524  1 Ag 2.23, 1 Pb 2.41
F 0.5000 0.5000 0.5000  2 Pb 2.34
F 0.5257 0.0537 0.7476  1 Ag 2.23, 1 Pb 2.41
F 0.9463 0.4743 0.2524  1 Ag 2.23, 1 Pb 2.41
F 0.9769 0.9769 0.2620  2 Pb 2.42-2.48, 2 Ag 2.46

---

x.
# Ag2Pb2F7

Crystalline Ag2Pb2F7 at its relaxed geometry (GGA-PBE, the Alexandria database).

Output
space group = Cmmm
magnetization = 1.08 μB/f.u.

abc: 5.7613 5.7613 5.6818
angles: 90.00 90.00 94.38
Last column: nearest neighbours and their distance in Å.
Atoms (fractional coordinates):
Ag 0.2409 0.7591 0.0000  5 F 2.19-2.43
Ag 0.7591 0.2409 0.0000  5 F 2.19-2.43
Pb 0.2497 0.2497 0.5000  6 F 2.37-2.53
Pb 0.7503 0.7503 0.5000  6 F 2.37-2.53
F 0.0000 0.0000 0.2631  2 Pb 2.37, 2 Ag 2.53
F 0.0000 0.0000 0.7369  2 Pb 2.37, 2 Ag 2.53
F 0.0000 0.5000 0.2542  2 Ag 2.43, 2 Pb 2.53
F 0.0000 0.5000 0.7458  2 Ag 2.43, 2 Pb 2.53
F 0.5000 0.0000 0.2542  2 Ag 2.43, 2 Pb 2.53
F 0.5000 0.0000 0.7458  2 Ag 2.43, 2 Pb 2.53
F 0.5000 0.5000 0.0000  2 Ag 2.19

---

Relative energies, meV per atom: w 6; x 0.